1.
A crystal of Mn2ReSb relaxed with PBEsol. Source: Alexandria via LeMat-Bulk, functional meta-GGA SCAN.

- ΔE_f (raw): 0.340 eV per atom
- Volume: 14.7 A^3/atom

Cell lengths 8.2225, 8.2225, 8.2225 Å; angles 20.33, 20.33, 20.33 degrees
Fractional coordinates of all 4 atoms:
Mn: 0.2454 0.2454 0.2454
Mn: 0.7546 0.7546 0.7546
Re: 0.5000 0.5000 0.5000
Sb: 0.0000 0.0000 0.0000

2.
A crystal of NbSi3Te relaxed with PBEsol. Source: Alexandria via LeMat-Bulk, functional meta-GGA SCAN.

- ΔE_f (raw): 1.908 eV per atom
- Volume: 24.7 A^3/atom

Cell lengths 4.9817, 4.9817, 4.9817 Å; angles 90.00, 90.00, 90.00 degrees
Fractional coordinates of all 5 atoms:
Nb: 0.0000 0.0000 0.0000
Si: 0.0000 0.5000 0.5000
Si: 0.5000 0.0000 0.5000
Si: 0.5000 0.5000 0.0000
Te: 0.5000 0.5000 0.5000

3.
A crystal of CdInOs2 relaxed with PBEsol. Source: Alexandria via LeMat-Bulk, functional meta-GGA SCAN.

- DFT formation energy: 814 meV per atom
- Volume: 16.5 A^3/atom

Cell lengths 4.9980, 4.9980, 4.9980 Å; angles 132.85, 132.85, 68.90 degrees
Fractional coordinates of all 4 atoms:
Cd: 0.0000 0.0000 0.0000
In: 0.5000 0.5000 0.0000
Os: 0.2500 0.7500 0.5000
Os: 0.7500 0.2500 0.5000

4.
A crystal of Ba2LiPt relaxed with PBEsol. Source: Alexandria via LeMat-Bulk, functional meta-GGA SCAN.

- DFT formation energy: -393 meV per atom
- Volume: 32.5 A^3/atom

Cell lengths 7.2374, 7.2374, 7.2374 Å; angles 149.52, 137.09, 53.54 degrees
Fractional coordinates of all 4 atoms:
Ba: 0.0000 0.0000 0.0000
Ba: 0.6991 0.1991 0.5000
Li: 0.3510 0.8510 0.5000
Pt: 0.4962 0.4962 0.0000